Record 1
Compound: CaCr2C
Source: Alexandria
Functional: GGA-PBE
Structure: relaxed

Structure (POSCAR):
```
CaCr2C
1.0
0.000 4.330 4.330
4.330 0.000 4.330
4.330 4.330 0.000
Ca Cr C
2 4 2
Cartesian
1.083 1.083 1.083 Ca
7.578 7.578 7.578 Ca
4.330 2.165 2.165 Cr
2.165 4.330 2.165 Cr
2.165 2.165 4.330 Cr
4.330 4.330 4.330 Cr
3.248 3.248 3.248 C
5.413 5.413 5.413 C
```

Its total moment is 1.334 μB per atom. The calculation puts the formation energy at 0.581 eV/atom. For the total energy, the calculation gives -7.0367 eV per atom.

=====

Record 2
Compound: CaCr3C
Source: Alexandria
Functional: GGA-PBE
Structure: relaxed

Structure (POSCAR):
```
CaCr3C
1.0
4.041 0.000 0.000
0.000 4.041 0.000
0.000 0.000 4.041
Ca Cr C
1 3 1
Cartesian
0.000 0.000 0.000 Ca
0.000 2.021 2.021 Cr
2.021 0.000 2.021 Cr
2.021 2.021 0.000 Cr
2.021 2.021 2.021 C
```

The relative energy among the computed polymorphs is 0.000 eV/atom. Its total moment is 0.000 μB per atom. The calculation puts the formation energy at 0.579 eV/atom. For the total energy, the calculation gives -7.4402 eV per atom.

=====

Record 3
Compound: CaCr2FeC
Source: Alexandria
Functional: GGA-PBE
Structure: relaxed

Structure (POSCAR):
```
CaCr2FeC
1.0
4.091 0.000 0.000
0.000 4.091 0.000
0.000 0.000 5.297
Ca Cr Fe C
1 2 1 1
Cartesian
0.000 0.000 0.000 Ca
0.000 2.046 2.648 Cr
2.046 0.000 2.648 Cr
0.000 0.000 2.648 Fe
2.046 2.046 0.000 C
```

Its total moment is 0.000 μB per atom. The calculation puts the formation energy at 1.946 eV/atom. For the total energy, the calculation gives -5.8409 eV per atom.

=====

Record 4
Compound: Ca2CrHgC
Source: Alexandria
Functional: GGA-PBE
Structure: relaxed

Structure (POSCAR):
```
Ca2CrHgC
1.0
5.726 0.000 0.000
0.000 5.726 0.000
0.000 0.000 4.879
Ca Cr Hg C
2 1 1 1
Cartesian
0.000 2.863 0.000 Ca
2.863 0.000 0.000 Ca
0.000 0.000 2.439 Cr
0.000 0.000 0.000 Hg
2.863 2.863 2.439 C
```

Its total moment is 0.281 μB per atom. The calculation puts the formation energy at 1.854 eV/atom. For the total energy, the calculation gives -2.7768 eV per atom.

=====

Record 5
Compound: CaMnCrC2
Source: Alexandria
Functional: GGA-PBE
Structure: relaxed

Structure (POSCAR):
```
CaMnCrC2
1.0
3.579 0.000 0.000
0.000 3.579 0.000
0.000 0.000 10.099
Ca Mn Cr C
2 2 2 4
Cartesian
0.000 0.000 0.000 Ca
1.790 1.790 5.049 Ca
0.000 1.790 7.574 Mn
1.790 0.000 2.525 Mn
0.000 1.790 2.525 Cr
1.790 0.000 7.574 Cr
0.000 0.000 3.283 C
0.000 0.000 6.816 C
1.790 1.790 1.766 C
1.790 1.790 8.332 C
```

Its total moment is 0.070 μB per atom. The calculation puts the formation energy at -0.040 eV/atom. For the total energy, the calculation gives -7.8887 eV per atom.

=====

Record 6
Compound: CaCrMoC2
Source: Alexandria
Functional: GGA-PBE
Structure: relaxed

Structure (POSCAR):
```
CaCrMoC2
1.0
3.992 0.000 0.000
0.000 3.992 0.000
0.000 0.000 4.522
Ca Cr Mo C
1 1 1 2
Cartesian
0.000 0.000 0.000 Ca
1.996 1.996 2.261 Cr
1.996 1.996 0.000 Mo
0.000 1.996 2.261 C
1.996 0.000 2.261 C
```

Its total moment is 0.000 μB per atom. The calculation puts the formation energy at 1.470 eV/atom. For the total energy, the calculation gives -6.7106 eV per atom.

=====

Record 7
Compound: CaCr2NiC
Source: Alexandria
Functional: GGA-PBE
Structure: relaxed

Structure (POSCAR):
```
CaCr2NiC
1.0
4.482 0.000 0.000
0.000 4.482 0.000
0.000 0.000 5.106
Ca Cr Ni C
1 2 1 1
Cartesian
0.000 0.000 0.000 Ca
0.000 2.241 2.553 Cr
2.241 0.000 2.553 Cr
0.000 0.000 2.553 Ni
2.241 2.241 0.000 C
```

Its total moment is 1.371 μB per atom. The calculation puts the formation energy at 1.741 eV/atom. For the total energy, the calculation gives -5.5097 eV per atom.